Entry 1:
The following is a DFT calculation (GGA-PBE) of a relaxed ReOs2Ru2 crystal.

## Properties
Formation energy from the elements: 0.80 eV per atom
Energy above the lowest structure with this stoichiometry: 732 meV per atom
M_tot: 0.000 μB per cell
V: 79 Å³ per cell

Unit cell a=6.5223 b=6.5223 c=6.5223 alpha=147.64 beta=147.64 gamma=46.42
With the nearest neighbours (Å) after each atom.
Element x y z (fractional)
Re1 0.0000 0.0000 0.0000  8 Os 2.83
Os1 0.4002 0.4002 0.0000  1 Os 2.39, 4 Ru 2.56
Os2 0.5998 0.5998 0.0000  1 Os 2.39, 4 Ru 2.56
Ru1 0.2500 0.7500 0.5000  4 Os 2.56, 4 Ru 2.57
Ru2 0.7500 0.2500 0.5000  4 Os 2.56, 4 Ru 2.57

---

Entry 2:
The following is a DFT calculation (GGA-PBE) of a relaxed ReOs3Ru6 crystal.

## Properties
Formation energy from the elements: 0.57 eV per atom
M_tot: 0.000 μB per cell
V: 309 Å³ per cell

Unit cell a=5.1472 b=7.6625 c=9.3677 alpha=90.00 beta=123.24 gamma=90.00
With the nearest neighbours (Å) after each atom.
Element x y z (fractional)
Re1 0.0000 0.0000 0.0000  2 Os 2.56, 4 Ru 2.56-2.74
Re2 0.0000 0.5000 0.5000  2 Os 2.56, 4 Ru 2.56-2.74
Os1 0.4816 0.1155 0.7504  1 Ru 2.37, 1 Re 2.56, 1 Os 2.56
Os2 0.4816 0.3845 0.2504  1 Ru 2.37, 1 Re 2.56, 1 Os 2.56
Os3 0.5000 0.0000 0.5000  2 Os 2.56, 6 Ru 2.58-2.86
Os4 0.5000 0.5000 0.0000  2 Os 2.56, 6 Ru 2.58-2.86
Os5 0.5184 0.6155 0.7496  1 Ru 2.37, 1 Re 2.56, 1 Os 2.56
Os6 0.5184 0.8845 0.2496  1 Ru 2.37, 1 Re 2.56, 1 Os 2.56
Ru1 0.0222 0.1186 0.7510  2 Os 2.37-2.58, 1 Re 2.56
Ru2 0.0222 0.3814 0.2510  2 Os 2.37-2.58, 1 Re 2.56
Ru3 0.0732 0.6500 0.0706  5 Ru 2.55-2.81, 3 Os 2.66-2.80, 1 Re 2.74
Ru4 0.0732 0.8500 0.5706  5 Ru 2.55-2.81, 3 Os 2.66-2.80, 1 Re 2.74
Ru5 0.4288 0.6504 0.4288  5 Ru 2.56-2.81, 4 Os 2.67-2.79
Ru6 0.4288 0.8496 0.9288  5 Ru 2.56-2.81, 4 Os 2.67-2.79
Ru7 0.5712 0.1504 0.0712  5 Ru 2.56-2.81, 4 Os 2.67-2.79
Ru8 0.5712 0.3496 0.5712  5 Ru 2.56-2.81, 4 Os 2.67-2.79
Ru9 0.9268 0.1500 0.4294  5 Ru 2.55-2.81, 3 Os 2.66-2.80, 1 Re 2.74
Ru10 0.9268 0.3500 0.9294  5 Ru 2.55-2.81, 3 Os 2.66-2.80, 1 Re 2.74
Ru11 0.9778 0.6186 0.7490  2 Os 2.37-2.58, 1 Re 2.56
Ru12 0.9778 0.8814 0.2490  2 Os 2.37-2.58, 1 Re 2.56

---

Entry 3:
The following is a DFT calculation (GGA-PBE) of a relaxed Re2OsRu crystal.

## Properties
Formation energy from the elements: 0.03 eV per atom
Energy above the lowest structure with this stoichiometry: 116 meV per atom
M_tot: 0.000 μB per cell
V: 58 Å³ per cell

Unit cell a=4.7443 b=4.7443 c=4.7443 alpha=131.80 beta=131.80 gamma=70.55
With the nearest neighbours (Å) after each atom.
Element x y z (fractional)
Re1 0.2500 0.7500 0.5000  4 Os 2.74, 4 Ru 2.74, 4 Re 2.74
Re2 0.7500 0.2500 0.5000  4 Os 2.74, 4 Ru 2.74, 4 Re 2.74
Os1 0.0000 0.0000 0.0000  8 Re 2.74, 4 Ru 2.74
Ru1 0.5000 0.5000 0.0000  8 Re 2.74, 4 Os 2.74

---

Entry 4:
The following is a DFT calculation (GGA-PBE) of a relaxed Re2OsRu crystal.

## Properties
Formation energy from the elements: 0.03 eV per atom
Energy above the lowest structure with this stoichiometry: 123 meV per atom
M_tot: 0.000 μB per cell
V: 58 Å³ per cell

Unit cell a=2.7327 b=3.8949 c=5.4661 alpha=90.00 beta=90.00 gamma=90.00
With the nearest neighbours (Å) after each atom.
Element x y z (fractional)
Re1 0.0000 0.0000 0.2490  4 Re 2.72-2.74, 4 Ru 2.74, 4 Os 2.75
Re2 0.0000 0.0000 0.7510  4 Re 2.72-2.74, 4 Ru 2.74, 4 Os 2.75
Os1 0.5000 0.5000 0.5000  2 Os 2.73, 2 Ru 2.73, 8 Re 2.75
Ru1 0.5000 0.5000 0.0000  2 Ru 2.73, 2 Os 2.73, 8 Re 2.74

---

Entry 5:
The following is a DFT calculation (GGA-PBE) of a relaxed Re2OsRu crystal.

## Properties
Formation energy from the elements: 0.02 eV per atom
Energy above the lowest structure with this stoichiometry: 108 meV per atom
M_tot: 0.000 μB per cell
V: 58 Å³ per cell

Unit cell a=4.7510 b=4.7510 c=2.7347 alpha=90.00 beta=90.00 gamma=109.59
With the nearest neighbours (Å) after each atom.
Element x y z (fractional)
Re1 0.0000 0.5000 0.0000  4 Re 2.73-2.74, 4 Os 2.74, 4 Ru 2.74
Re2 0.5000 0.0000 0.0000  4 Re 2.73-2.74, 4 Os 2.74, 4 Ru 2.74
Os1 0.0000 0.0000 0.5000  2 Os 2.73, 2 Ru 2.74, 8 Re 2.74
Ru1 0.5000 0.5000 0.5000  2 Ru 2.73, 2 Os 2.74, 8 Re 2.74

---

Entry 6:
The following is a DFT calculation (GGA-PBE) of a relaxed ReOs2Ru2 crystal.

## Properties
Formation energy from the elements: 0.07 eV per atom
Energy above the lowest structure with this stoichiometry: 0 meV per atom
M_tot: 0.000 μB per cell
V: 71 Å³ per cell

Unit cell a=4.7125 b=4.7125 c=6.0793 alpha=130.10 beta=130.10 gamma=48.40
With the nearest neighbours (Å) after each atom.
Element x y z (fractional)
Re1 0.0000 0.0000 0.0000  6 Os 2.70-2.75, 6 Ru 2.72
Os1 0.1966 0.1966 0.5938  3 Re 2.70-2.75, 3 Os 2.70-2.71, 6 Ru 2.71-2.74
Os2 0.8034 0.8034 0.4062  3 Re 2.70-2.75, 3 Os 2.70-2.71, 6 Ru 2.71-2.74
Ru1 0.3996 0.3996 0.1992  6 Os 2.71-2.74, 3 Re 2.72, 3 Ru 2.72-2.73
Ru2 0.6004 0.6004 0.8008  6 Os 2.71-2.74, 3 Re 2.72, 3 Ru 2.72-2.73